Below is crystalline AcTb6Sm3Ho2 at its relaxed geometry, with properties calculated at the PBE-GGA level.

Cell lengths 6.2435, 6.2435, 11.9574 Å; angles 94.98, 94.98, 119.97 degrees
Last column: nearest neighbours and their distance in Å.
Atoms (fractional coordinates):
1 Ac 0.0000 0.0000 0.0000  6 Ho 3.60-3.61, 6 Tb 3.64
2 Tb 0.9157 0.5792 0.7480  3 Sm 3.57-3.59, 6 Tb 3.59-3.64, 2 Ho 3.62, 1 Ac 3.64
3 Tb 0.7478 0.7478 0.2522  3 Sm 3.57-3.59, 6 Tb 3.59-3.64, 2 Ho 3.62, 1 Ac 3.64
4 Tb 0.0843 0.4208 0.2520  3 Sm 3.57-3.59, 6 Tb 3.59-3.64, 2 Ho 3.62, 1 Ac 3.64
5 Tb 0.5792 0.9157 0.7480  3 Sm 3.57-3.59, 6 Tb 3.59-3.64, 2 Ho 3.62, 1 Ac 3.64
6 Tb 0.2522 0.2522 0.7478  3 Sm 3.57-3.59, 6 Tb 3.59-3.64, 2 Ho 3.62, 1 Ac 3.64
7 Tb 0.4208 0.0843 0.2520  3 Sm 3.57-3.59, 6 Tb 3.59-3.64, 2 Ho 3.62, 1 Ac 3.64
8 Sm 0.1671 0.8329 0.5000  6 Tb 3.57-3.59, 6 Sm 3.60-3.61
9 Sm 0.8329 0.1671 0.5000  6 Tb 3.57-3.59, 6 Sm 3.60-3.61
10 Sm 0.5000 0.5000 0.5000  6 Tb 3.57-3.59, 6 Sm 3.60-3.61
11 Ho 0.3333 0.6667 0.0000  3 Ac 3.60-3.61, 3 Ho 3.60-3.61, 6 Tb 3.62
12 Ho 0.6667 0.3333 0.0000  3 Ac 3.60-3.61, 3 Ho 3.60-3.61, 6 Tb 3.62

Output
total magnetic moment: 0.00 μB per cell
energy of formation from the pure elements: 0.32 eV/f.u.
symmetry: C2/m, No. 12

Below is crystalline AcTb2Sm5Ho at its relaxed geometry, with properties calculated at the PBE-GGA level.

Cell lengths 9.1766, 9.1766, 9.9347 Å; angles 117.51, 117.51, 90.00 degrees
Last column: nearest neighbours and their distance in Å.
Atoms (fractional coordinates):
1 Ac 0.2500 0.2500 0.5000  10 Sm 3.76-3.79
2 Ac 0.7500 0.7500 0.5000  10 Sm 3.76-3.79
3 Tb 0.1122 0.3878 0.0000  1 Tb 2.91, 2 Sm 3.09
4 Tb 0.6122 0.1122 0.0000  1 Tb 2.91, 2 Sm 3.09
5 Tb 0.3878 0.8878 0.0000  1 Tb 2.91, 2 Sm 3.09
6 Tb 0.8878 0.6122 0.0000  1 Tb 2.91, 2 Sm 3.09
7 Sm 0.9259 0.4259 0.2536  1 Tb 3.09, 1 Ho 3.20
8 Sm 0.6723 0.1723 0.7464  1 Tb 3.09, 1 Ho 3.20
9 Sm 0.0741 0.5741 0.7464  1 Tb 3.09, 1 Ho 3.20
10 Sm 0.1723 0.0741 0.7464  1 Tb 3.09, 1 Ho 3.20
11 Sm 0.5741 0.6723 0.7464  1 Tb 3.09, 1 Ho 3.20
12 Sm 0.8277 0.9259 0.2536  1 Tb 3.09, 1 Ho 3.20
13 Sm 0.4259 0.3277 0.2536  1 Tb 3.09, 1 Ho 3.20
14 Sm 0.3277 0.8277 0.2536  1 Tb 3.09, 1 Ho 3.20
15 Sm 0.5000 0.5000 0.0000  4 Tb 3.70, 2 Ac 3.76, 8 Sm 3.82
16 Sm 0.0000 0.0000 0.0000  4 Tb 3.70, 2 Ac 3.76, 8 Sm 3.82
17 Ho 0.2500 0.7500 0.5000  4 Sm 3.20
18 Ho 0.7500 0.2500 0.5000  4 Sm 3.20

Output
total magnetic moment: 0.00 μB per cell
energy of formation from the pure elements: 2.51 eV/f.u.
symmetry: I4/mcm, No. 140

Below is crystalline Ac2TbSm5Ho at its relaxed geometry, with properties calculated at the PBE-GGA level.

Cell lengths 5.8124, 10.6327, 10.9415 Å; angles 90.00, 90.00, 105.86 degrees
Last column: nearest neighbours and their distance in Å.
Atoms (fractional coordinates):
1 Ac 0.8830 0.7659 0.8190  8 Sm 3.38-3.66
2 Ac 0.1123 0.2246 0.7333  9 Sm 3.55-3.95, 1 Ho 3.57, 2 Tb 3.88
3 Ac 0.1170 0.2341 0.3190  8 Sm 3.38-3.66
4 Ac 0.8877 0.7754 0.2333  9 Sm 3.55-3.95, 1 Ho 3.57, 2 Tb 3.88
5 Tb 0.5905 0.1811 0.9651  6 Sm 3.11-3.48
6 Tb 0.4095 0.8189 0.4651  6 Sm 3.11-3.48
7 Sm 0.3889 0.7778 0.0214  6 Sm 3.58-3.97, 4 Ac 3.66-3.72, 1 Ho 3.76
8 Sm 0.7176 0.4353 0.8089  1 Tb 3.11, 1 Ac 3.38
9 Sm 0.4819 0.9637 0.7416  2 Tb 3.30-3.37, 2 Sm 3.58-3.60, 2 Ac 3.64
10 Sm 0.2962 0.5925 0.7023  1 Tb 3.48, 3 Sm 3.52-3.82, 3 Ho 3.59-3.84, 3 Ac 3.64-3.78
11 Sm 0.9805 0.9609 0.5229  2 Tb 3.31, 3 Ac 3.55-3.69
12 Sm 0.6111 0.2222 0.5214  6 Sm 3.58-3.97, 4 Ac 3.66-3.72, 1 Ho 3.76
13 Sm 0.2824 0.5647 0.3089  1 Tb 3.11, 1 Ac 3.38
14 Sm 0.5181 0.0363 0.2416  2 Tb 3.30-3.37, 2 Sm 3.58-3.60, 2 Ac 3.64
15 Sm 0.7038 0.4075 0.2023  1 Tb 3.48, 3 Sm 3.52-3.82, 3 Ho 3.59-3.84, 3 Ac 3.64-3.78
16 Sm 0.0195 0.0391 0.0229  2 Tb 3.31, 3 Ac 3.55-3.69
17 Ho 0.7948 0.5897 0.5094  2 Ac 3.57-3.84, 8 Sm 3.59-3.84, 2 Tb 3.77
18 Ho 0.2052 0.4103 0.0094  2 Ac 3.57-3.84, 8 Sm 3.59-3.84, 2 Tb 3.77

Output
total magnetic moment: 0.00 μB per cell
energy of formation from the pure elements: 1.29 eV/f.u.
symmetry: Cmc2_1, No. 36

Below is crystalline AcTb2SmHo4 at its relaxed geometry, with properties calculated at the PBE-GGA level.

Cell lengths 5.1347, 5.1023, 11.3260 Å; angles 63.22, 90.00, 90.00 degrees
Last column: nearest neighbours and their distance in Å.
Atoms (fractional coordinates):
1 Ac 0.5000 0.5000 0.0000  4 Tb 3.62, 8 Ho 3.65
2 Tb 0.0000 0.0000 0.0000  4 Ac 3.62, 8 Ho 3.64-3.66
3 Tb 0.5000 0.0000 0.5000  8 Ho 3.54-3.55, 4 Sm 3.62
4 Sm 0.0000 0.5000 0.5000  8 Ho 3.54-3.55, 4 Tb 3.62
5 Ho 0.0000 0.7568 0.7430  2 Sm 3.54, 4 Tb 3.55-3.64, 4 Ho 3.62, 2 Ac 3.65
6 Ho 0.0000 0.2432 0.2570  2 Sm 3.54, 4 Tb 3.55-3.64, 4 Ho 3.62, 2 Ac 3.65
7 Ho 0.5000 0.7423 0.2576  4 Tb 3.54-3.66, 2 Sm 3.55, 4 Ho 3.62, 2 Ac 3.65
8 Ho 0.5000 0.2577 0.7424  4 Tb 3.54-3.66, 2 Sm 3.55, 4 Ho 3.62, 2 Ac 3.65

Output
total magnetic moment: 0.00 μB per cell
energy of formation from the pure elements: 0.33 eV/f.u.
symmetry: Pmmm, No. 47

Below is crystalline AcTbSm2Ho4 at its relaxed geometry, with properties calculated at the PBE-GGA level.

Cell lengths 5.1450, 5.1168, 11.3457 Å; angles 63.18, 90.00, 90.00 degrees
Last column: nearest neighbours and their distance in Å.
Atoms (fractional coordinates):
1 Ac 0.5000 0.5000 0.0000  4 Sm 3.63, 8 Ho 3.65-3.67
2 Tb 0.0000 0.5000 0.5000  8 Ho 3.54-3.55, 4 Sm 3.63
3 Sm 0.0000 0.0000 0.0000  4 Ac 3.63, 8 Ho 3.65-3.67
4 Sm 0.5000 0.0000 0.5000  8 Ho 3.54-3.55, 4 Tb 3.63
5 Ho 0.0000 0.7575 0.7421  2 Tb 3.54, 4 Sm 3.55-3.66, 4 Ho 3.63, 2 Ac 3.67
6 Ho 0.0000 0.2425 0.2579  2 Tb 3.54, 4 Sm 3.55-3.66, 4 Ho 3.63, 2 Ac 3.67
7 Ho 0.5000 0.7422 0.2578  4 Sm 3.54-3.67, 2 Tb 3.55, 4 Ho 3.63, 2 Ac 3.65-3.66
8 Ho 0.5000 0.2578 0.7422  4 Sm 3.54-3.67, 2 Tb 3.55, 4 Ho 3.63, 2 Ac 3.65-3.66

Output
total magnetic moment: 0.00 μB per cell
energy of formation from the pure elements: 0.31 eV/f.u.
symmetry: Pmmm, No. 47

Below is crystalline Ac3SmHo3Te8 at its relaxed geometry, with properties calculated at the PBE-GGA level.

Cell lengths 8.9309, 8.9314, 9.1214 Å; angles 119.31, 90.00, 120.00 degrees
Last column: nearest neighbours and their distance in Å.
Atoms (fractional coordinates):
1 Ac 0.0000 0.0000 0.0000  6 Te 3.31-3.32
2 Ac 0.0000 0.5000 0.0000  6 Te 3.31-3.32
3 Ac 0.5000 0.5000 0.0000  6 Te 3.31-3.32
4 Sm 0.0000 0.0000 0.5000  6 Te 3.22
5 Ho 0.5000 0.0000 0.5000  6 Te 3.07
6 Ho 0.5000 0.5000 0.5000  6 Te 3.07-3.08
7 Ho 0.0000 0.5000 0.5000  6 Te 3.07-3.08
8 Te 0.2591 0.5183 0.2774  3 Ho 3.07, 3 Ac 3.32
9 Te 0.7409 0.4817 0.7226  3 Ho 3.07, 3 Ac 3.32
10 Te 0.7480 0.4960 0.2663  2 Ho 3.07-3.08, 1 Sm 3.22, 2 Ac 3.31
11 Te 0.2520 0.5040 0.7337  2 Ho 3.07-3.08, 1 Sm 3.22, 2 Ac 3.31
12 Te 0.7480 0.0183 0.2663  2 Ho 3.07-3.08, 1 Sm 3.22, 2 Ac 3.31
13 Te 0.2520 0.9817 0.7337  2 Ho 3.07-3.08, 1 Sm 3.22, 2 Ac 3.31
14 Te 0.2703 0.0183 0.2663  2 Ho 3.07-3.08, 1 Sm 3.22, 2 Ac 3.31
15 Te 0.7297 0.9817 0.7337  2 Ho 3.07-3.08, 1 Sm 3.22, 2 Ac 3.31

Output
total magnetic moment: 0.00 μB per cell
formation energy from raw total energies: -1.43 eV/atom
symmetry: R-3m, No. 166